[1]
Fe2TcPt | PBE | relaxed

Values from the calculation:
DOS(E_F) = 14.34 states/eV/cell
Formation energy from the elements = 0.039 eV per atom
E_tot = -8.295 eV/atom
Distance to the lowest polymorph of the same formula = 0.089 eV/atom
Crystal system = trigonal

a = 2.6979 Å, b = 2.6979 Å, c = 25.7799 Å
α = 90.00°, β = 90.00°, γ = 120.00°
Space group R3m (No. 160, hexagonal axes)
Unique sites:
Fe1 0.0000 0.0000 0.0000
Fe2 0.0000 0.0000 0.2555
Tc1 0.0000 0.0000 0.5108
Pt1 0.0000 0.0000 0.7514

[2]
Sm3PuC | PBE | relaxed

Values from the calculation:
DOS(E_F) = 14.31 states/eV/cell
Formation energy from the elements = 0.187 eV per atom
E_tot = -7.356 eV/atom
Crystal system = cubic

a = 5.143 Å, b = 5.143 Å, c = 5.143 Å
α = 90.00°, β = 90.00°, γ = 90.00°
Space group Pm-3m (No. 221)
Unique sites:
Sm1 0.000 0.000 0.500
Pu1 0.500 0.500 0.500
C1 0.000 0.000 0.000

[3]
LaCrFeMo2 | PBE | relaxed

Values from the calculation:
DOS(E_F) = 4.88 states/eV/cell
Formation energy from the elements = 0.806 eV per atom
E_tot = -8.129 eV/atom
Crystal system = tetragonal

a = 4.635 Å, b = 4.635 Å, c = 4.408 Å
α = 90.00°, β = 90.00°, γ = 90.00°
Space group P4/mmm (No. 123)
Unique sites:
La1 0.000 0.000 0.000
Cr1 0.500 0.500 0.500
Fe1 0.500 0.500 0.000
Mo1 0.000 0.500 0.500

[4]
LaMn2Al | PBE | relaxed

Values from the calculation:
DOS(E_F) = 7.83 states/eV/cell
Formation energy from the elements = 0.259 eV per atom
E_tot = -6.493 eV/atom
Crystal system = tetragonal

a = 4.330 Å, b = 4.330 Å, c = 8.427 Å
α = 90.00°, β = 90.00°, γ = 90.00°
Space group I-4m2 (No. 119)
Unique sites:
La1 0.000 0.000 0.000
Mn1 0.000 0.000 0.500
Mn2 0.000 0.500 0.750
Al1 0.000 0.500 0.250

[5]
Y4ThIn5 | PBE | relaxed

Values from the calculation:
DOS(E_F) = 7.61 states/eV/cell
Formation energy from the elements = -0.451 eV per atom
E_tot = -5.148 eV/atom
Crystal system = tetragonal

a = 3.592 Å, b = 3.592 Å, c = 20.988 Å
α = 90.00°, β = 90.00°, γ = 90.00°
Space group P4/mmm (No. 123)
Unique sites:
Y1 0.000 0.000 0.098
Y2 0.000 0.000 0.295
Th1 0.000 0.000 0.500
In1 0.500 0.500 0.000
In2 0.500 0.500 0.196
In3 0.500 0.500 0.393

[6]
TbYCuAu | PBE | relaxed

Values from the calculation:
DOS(E_F) = 5.95 states/eV/cell
Formation energy from the elements = -0.561 eV per atom
E_tot = -5.178 eV/atom
Distance to the lowest polymorph of the same formula = 0.000 eV/atom
Crystal system = orthorhombic

a = 4.591 Å, b = 3.773 Å, c = 10.730 Å
α = 90.00°, β = 90.00°, γ = 90.00°
Space group Amm2 (No. 38)
Unique sites:
Tb1 0.000 0.000 0.000
Y1 0.500 0.000 0.721
Cu1 0.000 0.000 0.280
Au1 0.500 0.000 0.439

[7]
LiCeScRh | PBE | relaxed

Values from the calculation:
DOS(E_F) = 26.25 states/eV/cell
Formation energy from the elements = -0.346 eV per atom
E_tot = -5.729 eV/atom
Crystal system = cubic

a = 6.851 Å, b = 6.851 Å, c = 6.851 Å
α = 90.00°, β = 90.00°, γ = 90.00°
Space group F-43m (No. 216)
Unique sites:
Li1 0.000 0.000 0.000
Ce1 0.250 0.250 0.750
Sc1 0.250 0.250 0.250
Rh1 0.000 0.000 0.500

[8]
Sc4InPbN | PBE | relaxed

Values from the calculation:
DOS(E_F) = 4.53 states/eV/cell
E_tot = -6.593 eV/atom
Formation energy (no corrections) = -0.864 eV per atom
Crystal system = orthorhombic

a = 6.240 Å, b = 15.150 Å, c = 6.240 Å
α = 90.00°, β = 90.00°, γ = 90.00°
Space group Cmcm (No. 63)
Unique sites:
Sc1 0.000 0.096 0.250
Sc2 0.000 0.402 0.250
Sc3 0.250 0.250 0.000
In1 0.000 0.107 0.750
Pb1 0.000 0.397 0.750
N1 0.000 0.250 0.250

Question: Look up the E_tot of the first one.
Answer: -8.295 eV/atom